[1]
# RbY PBE relaxed
# **Density of states at the Fermi level**: 5.1 states/eV/f.u.
# **Size of the total moment**: 1.9 μB/f.u.
# **Total energy**: -1.869 eV/atom
data_RbY
_cell_length_a 11.483
_cell_length_b 11.483
_cell_length_c 11.483
_cell_angle_alpha 90.00
_cell_angle_beta 90.00
_cell_angle_gamma 90.00
_symmetry_space_group_name_H-M 'P m -3 n'
_symmetry_Int_Tables_number 223
_symmetry_space_group_name_Hall '-P 4n 2 3'
loop_
_atom_site_label
_atom_site_type_symbol
_atom_site_fract_x
_atom_site_fract_y
_atom_site_fract_z
Rb1 Rb 0.000 0.250 0.500
Y1 Y 0.000 0.500 0.250

---

[2]
# CdNiBi2 PBE relaxed
# **Density of states at the Fermi level**: 2.6 states/eV/f.u.
# **Size of the total moment**: 0.0 μB/f.u.
# **Total energy**: -3.501 eV/atom
data_CdNiBi2
_cell_length_a 3.320
_cell_length_b 3.320
_cell_length_c 8.885
_cell_angle_alpha 90.00
_cell_angle_beta 90.00
_cell_angle_gamma 90.00
_symmetry_space_group_name_H-M 'P 4/m m m'
_symmetry_Int_Tables_number 123
_symmetry_space_group_name_Hall '-P 4 2'
loop_
_atom_site_label
_atom_site_type_symbol
_atom_site_fract_x
_atom_site_fract_y
_atom_site_fract_z
Cd1 Cd 0.000 0.000 0.000
Ni1 Ni 0.000 0.000 0.500
Bi1 Bi 0.500 0.500 0.309

---

[3]
# Ca2TlInHg4 PBE relaxed
# **Density of states at the Fermi level**: 3.8 states/eV/f.u.
# **Size of the total moment**: 0.0 μB/f.u.
# **Total energy**: -1.650 eV/atom
data_Ca2TlInHg4
_cell_length_a 5.2675
_cell_length_b 5.2675
_cell_length_c 25.8012
_cell_angle_alpha 90.00
_cell_angle_beta 90.00
_cell_angle_gamma 120.00
_symmetry_space_group_name_H-M 'R -3 m'
_symmetry_Int_Tables_number 166
_symmetry_space_group_name_Hall '-R 3 2"'
loop_
_atom_site_label
_atom_site_type_symbol
_atom_site_fract_x
_atom_site_fract_y
_atom_site_fract_z
Ca1 Ca 0.0000 0.0000 0.2502
Tl1 Tl 0.0000 0.0000 0.0000
In1 In 0.0000 0.0000 0.5000
Hg1 Hg 0.0000 0.0000 0.1265
Hg2 Hg 0.0000 0.0000 0.3768

---

[4]
# Zr6TlFe2 PBE relaxed
# **Density of states at the Fermi level**: 10.8 states/eV/f.u.
# **Size of the total moment**: 0.0 μB/f.u.
# **Total energy**: -7.925 eV/atom
data_Zr6TlFe2
_cell_length_a 8.610
_cell_length_b 9.146
_cell_length_c 9.404
_cell_angle_alpha 90.00
_cell_angle_beta 90.00
_cell_angle_gamma 90.00
_symmetry_space_group_name_H-M 'I m m m'
_symmetry_Int_Tables_number 71
_symmetry_space_group_name_Hall '-I 2 2'
loop_
_atom_site_label
_atom_site_type_symbol
_atom_site_fract_x
_atom_site_fract_y
_atom_site_fract_z
Zr1 Zr 0.000 0.215 0.239
Zr2 Zr 0.193 0.500 0.185
Zr3 Zr 0.215 0.303 0.500
Tl1 Tl 0.000 0.000 0.000
Tl2 Tl 0.000 0.000 0.500
Fe1 Fe 0.000 0.347 0.000
Fe2 Fe 0.000 0.500 0.386

---

[5]
# LiTbGePb PBE relaxed
# **Density of states at the Fermi level**: 2.3 states/eV/f.u.
# **Size of the total moment**: 0.0 μB/f.u.
# **Total energy**: -4.028 eV/atom
data_LiTbGePb
_cell_length_a 7.236
_cell_length_b 7.236
_cell_length_c 7.236
_cell_angle_alpha 90.00
_cell_angle_beta 90.00
_cell_angle_gamma 90.00
_symmetry_space_group_name_H-M 'F -4 3 m'
_symmetry_Int_Tables_number 216
_symmetry_space_group_name_Hall 'F -4 2 3'
loop_
_atom_site_label
_atom_site_type_symbol
_atom_site_fract_x
_atom_site_fract_y
_atom_site_fract_z
Li1 Li 0.000 0.000 0.000
Tb1 Tb 0.000 0.000 0.500
Ge1 Ge 0.250 0.250 0.750
Pb1 Pb 0.250 0.250 0.250

---

[6]
# Nb2RuI PBE relaxed
# **Density of states at the Fermi level**: 6.2 states/eV/f.u.
# **Size of the total moment**: 0.0 μB/f.u.
# **Formation energy without anion corrections**: 0.557 eV per atom
# **Energy above the lowest structure with this stoichiometry**: 0.0 meV/atom
# **Total energy**: -7.184 eV/atom
data_Nb2RuI
_cell_length_a 6.623
_cell_length_b 6.623
_cell_length_c 6.623
_cell_angle_alpha 90.00
_cell_angle_beta 90.00
_cell_angle_gamma 90.00
_symmetry_space_group_name_H-M 'F m -3 m'
_symmetry_Int_Tables_number 225
_symmetry_space_group_name_Hall '-F 4 2 3'
loop_
_atom_site_label
_atom_site_type_symbol
_atom_site_fract_x
_atom_site_fract_y
_atom_site_fract_z
Nb1 Nb 0.250 0.250 0.250
Ru1 Ru 0.000 0.000 0.000
I1 I 0.000 0.000 0.500

---

[7]
# La2Tb2ThMg5 PBE relaxed
# **Density of states at the Fermi level**: 8.8 states/eV/f.u.
# **Size of the total moment**: 0.0 μB/f.u.
# **Total energy**: -3.394 eV/atom
data_La2Tb2ThMg5
_cell_length_a 10.629
_cell_length_b 10.629
_cell_length_c 5.208
_cell_angle_alpha 90.00
_cell_angle_beta 90.00
_cell_angle_gamma 90.00
_symmetry_space_group_name_H-M 'P 4/m b m'
_symmetry_Int_Tables_number 127
_symmetry_space_group_name_Hall '-P 4 2ab'
loop_
_atom_site_label
_atom_site_type_symbol
_atom_site_fract_x
_atom_site_fract_y
_atom_site_fract_z
La1 La 0.176 0.324 0.000
Tb1 Tb 0.122 0.622 0.000
Th1 Th 0.000 0.000 0.000
Mg1 Mg 0.000 0.500 0.500
Mg2 Mg 0.074 0.802 0.500

---

[8]
# PuHfZn17 PBE relaxed
# **Density of states at the Fermi level**: 14.0 states/eV/f.u.
# **Size of the total moment**: 5.6 μB/f.u.
# **Total energy**: -2.523 eV/atom
data_PuHfZn17
_cell_length_a 8.8943
_cell_length_b 8.8943
_cell_length_c 13.1174
_cell_angle_alpha 90.00
_cell_angle_beta 90.00
_cell_angle_gamma 120.00
_symmetry_space_group_name_H-M 'R 3 m'
_symmetry_Int_Tables_number 160
_symmetry_space_group_name_Hall 'R 3 -2"'
loop_
_atom_site_label
_atom_site_type_symbol
_atom_site_fract_x
_atom_site_fract_y
_atom_site_fract_z
Pu1 Pu 0.0000 0.0000 0.0000
Hf1 Hf 0.0000 0.0000 0.6634
Zn1 Zn 0.0000 0.0000 0.2392
Zn2 Zn 0.0000 0.0000 0.4395
Zn3 Zn 0.0019 0.5009 0.1863
Zn4 Zn 0.0038 0.3018 0.3343
Zn5 Zn 0.0115 0.5058 0.8315
Zn6 Zn 0.0255 0.5128 0.4859

---

[9]
# HfRh2BrCl PBE relaxed
# **Density of states at the Fermi level**: 2.9 states/eV/f.u.
# **Size of the total moment**: 0.0 μB/f.u.
# **Formation energy without anion corrections**: 0.327 eV per atom
# **Total energy**: -5.309 eV/atom
data_HfRh2BrCl
_cell_length_a 4.935
_cell_length_b 4.935
_cell_length_c 4.841
_cell_angle_alpha 90.00
_cell_angle_beta 90.00
_cell_angle_gamma 90.00
_symmetry_space_group_name_H-M 'P 4/m m m'
_symmetry_Int_Tables_number 123
_symmetry_space_group_name_Hall '-P 4 2'
loop_
_atom_site_label
_atom_site_type_symbol
_atom_site_fract_x
_atom_site_fract_y
_atom_site_fract_z
Hf1 Hf 0.000 0.000 0.000
Rh1 Rh 0.000 0.500 0.000
Br1 Br 0.500 0.500 0.500
Cl1 Cl 0.000 0.000 0.500

---

[10]
# Mg4CdNi PBE relaxed
# **Density of states at the Fermi level**: 3.6 states/eV/f.u.
# **Size of the total moment**: 0.0 μB/f.u.
# **Energy above the lowest structure with this stoichiometry**: 171.5 meV/atom
# **Total energy**: -2.129 eV/atom
data_Mg4CdNi
_cell_length_a 7.884
_cell_length_b 4.456
_cell_length_c 8.123
_cell_angle_alpha 90.00
_cell_angle_beta 108.34
_cell_angle_gamma 90.00
_symmetry_space_group_name_H-M 'C 1 2/m 1'
_symmetry_Int_Tables_number 12
loop_
_symmetry_equiv_pos_as_xyz
'x,y,z'
'-x,-y,-z'
'-x,y,-z'
'x,-y,z'
'x+1/2,y+1/2,z'
'-x+1/2,-y+1/2,-z'
'-x+1/2,y+1/2,-z'
'x+1/2,-y+1/2,z'
loop_
_atom_site_label
_atom_site_type_symbol
_atom_site_fract_x
_atom_site_fract_y
_atom_site_fract_z
Mg1 Mg 0.115 0.000 0.332
Mg2 Mg 0.135 0.500 0.905
Cd1 Cd 0.000 0.500 0.500
Ni1 Ni 0.000 0.000 0.000

---

[11]
# Ti6IrRh12 PBE relaxed
# **Density of states at the Fermi level**: 18.4 states/eV/f.u.
# **Size of the total moment**: 0.0 μB/f.u.
# **Total energy**: -8.087 eV/atom
data_Ti6IrRh12
_cell_length_a 11.4720
_cell_length_b 11.4720
_cell_length_c 7.7126
_cell_angle_alpha 90.00
_cell_angle_beta 90.00
_cell_angle_gamma 120.00
_symmetry_space_group_name_H-M 'R -3'
_symmetry_Int_Tables_number 148
_symmetry_space_group_name_Hall '-R 3'
loop_
_atom_site_label
_atom_site_type_symbol
_atom_site_fract_x
_atom_site_fract_y
_atom_site_fract_z
Ti1 Ti 0.0356 0.1837 0.2562
Ir1 Ir 0.0000 0.0000 0.5000
Rh1 Rh 0.0341 0.2482 0.5705
Rh2 Rh 0.0724 0.2446 0.9360

---

[12]
# ErGa4Ir2Pd PBE relaxed
# **Density of states at the Fermi level**: 4.5 states/eV/f.u.
# **Size of the total moment**: 0.0 μB/f.u.
# **Total energy**: -5.501 eV/atom
data_ErGa4Ir2Pd
_cell_length_a 4.2848
_cell_length_b 4.2848
_cell_length_c 25.2601
_cell_angle_alpha 90.00
_cell_angle_beta 90.00
_cell_angle_gamma 120.00
_symmetry_space_group_name_H-M 'R -3 m'
_symmetry_Int_Tables_number 166
_symmetry_space_group_name_Hall '-R 3 2"'
loop_
_atom_site_label
_atom_site_type_symbol
_atom_site_fract_x
_atom_site_fract_y
_atom_site_fract_z
Er1 Er 0.0000 0.0000 0.0000
Ga1 Ga 0.0000 0.0000 0.1296
Ga2 Ga 0.0000 0.0000 0.3958
Ir1 Ir 0.0000 0.0000 0.2375
Pd1 Pd 0.0000 0.0000 0.5000